[1]
This record from the Alexandria database describes BaCo3B after structural relaxation. The functional is GGA-PBE.

Output
* calculated formation energy: 205.2 kJ/mol of formula units
* space group: Pm-3m
* theoretical density: 7.561 g/cm3

a b c (Å): 4.1479 4.1479 4.1479
angles (deg): 90.00 90.00 90.00
Closest atoms and distances in Å follow each position.
Sites, in units of the cell vectors:
Ba  0.0000  0.0000  0.0000  12 Co 2.93
Co  0.0000  0.5000  0.5000  2 B 2.07
Co  0.5000  0.0000  0.5000  2 B 2.07
Co  0.5000  0.5000  0.0000  2 B 2.07
B  0.5000  0.5000  0.5000  6 Co 2.07

=====

[2]
This record from the Alexandria database describes Pm2Ga4HgPd3 after structural relaxation. The functional is GGA-PBE.

Output
* calculated formation energy: -661.9 kJ/mol of formula units
* space group: P-4m2
* theoretical density: 9.037 g/cm3

a b c (Å): 4.3283 4.3283 10.6787
angles (deg): 90.00 90.00 90.00
Closest atoms and distances in Å follow each position.
Sites, in units of the cell vectors:
Pm  0.0000  0.5000  0.2366  6 Pd 3.28-3.55, 8 Ga 3.31-3.33, 2 Hg 3.55
Pm  0.5000  0.0000  0.7634  6 Pd 3.28-3.55, 8 Ga 3.31-3.33, 2 Hg 3.55
Ga  0.0000  0.0000  0.0000  4 Pd 2.55
Ga  0.0000  0.5000  0.6445  3 Pd 2.45-2.66, 2 Hg 2.66
Ga  0.5000  0.0000  0.3555  3 Pd 2.45-2.66, 2 Hg 2.66
Ga  0.5000  0.5000  0.0000  4 Pd 2.55
Hg  0.0000  0.0000  0.5000  4 Ga 2.66
Pd  0.0000  0.5000  0.8737  5 Ga 2.45-2.55
Pd  0.5000  0.0000  0.1263  5 Ga 2.45-2.55
Pd  0.5000  0.5000  0.5000  4 Ga 2.66